# 1
! CaInRh3 GGA-PBE relaxed; values from VASP
&SYSTEM
  ibrav = 0, nat = 5, ntyp = 3
/
ATOMIC_SPECIES
Rh 102.91 Rh.upf
Ca 40.08 Ca.upf
In 114.82 In.upf
CELL_PARAMETERS angstrom
-3.0051 -2.8681 -2.3352
3.0083 -0.1451 -3.6931
2.1516 -3.8030 1.9020
ATOMIC_POSITIONS crystal
Rh 0.0000 0.0000 0.5000
Ca 0.0000 0.0000 0.0000
Rh 0.5000 0.0000 0.0000
In 0.5000 0.5000 0.5000
Rh 0.0000 0.5000 0.0000
! energy relative to the elements: 1.14 eV/atom
! magnetic moment: 1.375 μB per formula unit
! relative energy among the computed polymorphs: 2.749 eV/f.u.

***

# 2
! Ca3InRh GGA-PBE relaxed; values from VASP
&SYSTEM
  ibrav = 0, nat = 10, ntyp = 3
/
ATOMIC_SPECIES
Ca 40.08 Ca.upf
Rh 102.91 Rh.upf
In 114.82 In.upf
CELL_PARAMETERS angstrom
5.8665 0.0815 -1.2053
-2.7052 5.2061 -1.2054
-0.0206 -0.0355 8.9722
ATOMIC_POSITIONS crystal
Ca 0.9182 0.8061 0.7244
Ca 0.0818 0.1939 0.2756
Ca 0.6939 0.5818 0.2757
Rh 0.7499 0.7499 0.0000
Ca 0.3061 0.4182 0.7243
Rh 0.2501 0.2501 0.0000
Ca 0.2984 0.7984 0.0968
In 0.7137 0.2137 0.5000
In 0.2863 0.7863 0.5000
Ca 0.7016 0.2016 0.9032
! energy relative to the elements: -0.39 eV/atom
! magnetic moment: 0.000 μB per formula unit
! relative energy among the computed polymorphs: 0.000 eV/f.u.

***

# 3
! Ca4InRh GGA-PBE relaxed; values from VASP
&SYSTEM
  ibrav = 0, nat = 12, ntyp = 3
/
ATOMIC_SPECIES
In 114.82 In.upf
Ca 40.08 Ca.upf
Rh 102.91 Rh.upf
CELL_PARAMETERS angstrom
6.1500 -0.5223 0.0000
-2.2237 8.7433 0.0000
-1.9631 -4.1105 6.8491
ATOMIC_POSITIONS crystal
In 0.6186 0.3686 0.7373
Ca 0.2190 0.2781 0.3334
Ca 0.3856 0.9446 0.6666
Ca 0.7810 0.7219 0.6666
Ca 0.6144 0.0554 0.3334
Rh 0.7515 0.0015 0.0030
In 0.3814 0.6314 0.2627
Ca 0.9329 0.7882 0.1465
Ca 0.0671 0.2118 0.8535
Ca 0.7137 0.3583 0.1465
Ca 0.2863 0.6417 0.8535
Rh 0.2485 0.9985 0.9970
! energy relative to the elements: -0.39 eV/atom
! magnetic moment: 0.000 μB per formula unit
! relative energy among the computed polymorphs: 0.000 eV/f.u.

***

# 4
! CaInRh GGA-PBE relaxed; values from VASP
&SYSTEM
  ibrav = 0, nat = 3, ntyp = 3
/
ATOMIC_SPECIES
Ca 40.08 Ca.upf
In 114.82 In.upf
Rh 102.91 Rh.upf
CELL_PARAMETERS angstrom
-3.8486 2.4722 1.3744
-4.1826 -2.2281 0.5946
-1.7824 -0.6017 4.3901
ATOMIC_POSITIONS crystal
Ca 0.7500 0.7500 0.7500
In 0.0000 0.0000 0.0000
Rh 0.5000 0.5000 0.5000
! energy relative to the elements: 0.31 eV/atom
! magnetic moment: 0.000 μB per formula unit

***

# 5
! Ca2InRh3 GGA-PBE relaxed; values from VASP
&SYSTEM
  ibrav = 0, nat = 6, ntyp = 3
/
ATOMIC_SPECIES
Rh 102.91 Rh.upf
Ca 40.08 Ca.upf
In 114.82 In.upf
CELL_PARAMETERS angstrom
3.1641 0.0000 0.0000
0.0000 5.4718 0.0000
-1.5820 -2.7359 7.1283
ATOMIC_POSITIONS crystal
Rh 0.0000 0.0000 0.0000
Rh 0.3485 0.3485 0.6970
Ca 0.3299 0.8299 0.6599
Rh 0.6515 0.6515 0.3030
In 0.0000 0.5000 0.0000
Ca 0.6701 0.1701 0.3401
! energy relative to the elements: -0.02 eV/atom
! magnetic moment: 0.000 μB per formula unit

***

# 6
! CaIn4Rh GGA-PBE relaxed; values from VASP
&SYSTEM
  ibrav = 0, nat = 6, ntyp = 3
/
ATOMIC_SPECIES
In 114.82 In.upf
Ca 40.08 Ca.upf
Rh 102.91 Rh.upf
CELL_PARAMETERS angstrom
0.0000 4.1738 4.1738
4.1738 0.0000 4.1738
4.1738 4.1738 0.0000
ATOMIC_POSITIONS crystal
In 0.8737 0.3754 0.3754
Ca 0.0000 0.0000 0.0000
In 0.3754 0.3754 0.3754
In 0.3754 0.8737 0.3754
In 0.3754 0.3754 0.8737
Rh 0.7500 0.7500 0.7500
! energy relative to the elements: 0.09 eV/atom
! magnetic moment: 0.000 μB per formula unit

***

# 7
! Ca8InRh2 GGA-PBE relaxed; values from VASP
&SYSTEM
  ibrav = 0, nat = 11, ntyp = 3
/
ATOMIC_SPECIES
Ca 40.08 Ca.upf
Rh 102.91 Rh.upf
In 114.82 In.upf
CELL_PARAMETERS angstrom
6.4730 -0.4434 -1.6864
-1.7916 7.0237 -2.7953
-0.5781 -0.4254 8.2576
ATOMIC_POSITIONS crystal
Ca 0.2986 0.2466 0.1844
Ca 0.3598 0.9217 0.4215
Ca 0.7953 0.9375 0.1839
Ca 0.9582 0.0269 0.6426
Rh 0.5980 0.6437 0.2871
Ca 0.6227 0.3560 0.9215
In 0.3712 0.9167 0.8344
Rh 0.2239 0.2694 0.5387
Ca 0.2074 0.5652 0.9221
Ca 0.5936 0.6160 0.6424
Ca 0.9714 0.5003 0.4214
! energy relative to the elements: -0.28 eV/atom
! magnetic moment: 0.000 μB per formula unit

***

# 8
! CaIn2Rh GGA-PBE relaxed; values from VASP
&SYSTEM
  ibrav = 0, nat = 4, ntyp = 3
/
ATOMIC_SPECIES
In 114.82 In.upf
Ca 40.08 Ca.upf
Rh 102.91 Rh.upf
CELL_PARAMETERS angstrom
-3.9304 -4.1401 1.2727
-0.7517 -5.5327 -1.7415
0.3103 -5.1706 2.7160
ATOMIC_POSITIONS crystal
In 0.9668 0.9668 0.9668
Ca 0.7500 0.7500 0.7500
In 0.5332 0.5332 0.5332
Rh 0.2500 0.2500 0.2500
! energy relative to the elements: -0.35 eV/atom
! magnetic moment: 0.000 μB per formula unit

***

# 9
! CaInRh GGA-PBE relaxed; values from VASP
&SYSTEM
  ibrav = 0, nat = 3, ntyp = 3
/
ATOMIC_SPECIES
Ca 40.08 Ca.upf
In 114.82 In.upf
Rh 102.91 Rh.upf
CELL_PARAMETERS angstrom
-4.5402 -3.4916 -2.1027
-0.7618 -6.0323 -0.5039
1.6742 4.7010 3.5074
ATOMIC_POSITIONS crystal
Ca 0.0158 0.0159 0.0005
In 0.3035 0.3035 0.9999
Rh 0.6807 0.6806 0.9996
! energy relative to the elements: -0.41 eV/atom
! magnetic moment: 0.000 μB per formula unit

***

# 10
! CaIn2Rh GGA-PBE relaxed; values from VASP
&SYSTEM
  ibrav = 0, nat = 4, ntyp = 3
/
ATOMIC_SPECIES
Ca 40.08 Ca.upf
In 114.82 In.upf
Rh 102.91 Rh.upf
CELL_PARAMETERS angstrom
-2.2287 3.6244 0.5417
-3.6848 -2.2279 -0.2537
0.0727 -0.6484 4.6376
ATOMIC_POSITIONS crystal
Ca 0.0000 0.5000 0.5000
In 0.0000 0.0000 0.0000
Rh 0.5000 0.0000 0.5000
In 0.5000 0.5000 0.0000
! energy relative to the elements: -0.25 eV/atom
! magnetic moment: 0.000 μB per formula unit

***

# 11
! CaIn2Rh GGA-PBE relaxed; values from VASP
&SYSTEM
  ibrav = 0, nat = 4, ntyp = 3
/
ATOMIC_SPECIES
In 114.82 In.upf
Rh 102.91 Rh.upf
Ca 40.08 Ca.upf
CELL_PARAMETERS angstrom
4.6385 0.0000 0.0000
0.0000 3.3371 0.0139
0.0000 1.6146 5.8008
ATOMIC_POSITIONS crystal
In 0.0000 0.1042 0.0298
Rh 0.5000 0.2500 0.2500
Ca 0.5000 0.7500 0.7500
In 0.0000 0.3958 0.4702
! energy relative to the elements: -0.28 eV/atom
! magnetic moment: 0.000 μB per formula unit

***

# 12
! CaInRh GGA-PBE relaxed; values from VASP
&SYSTEM
  ibrav = 0, nat = 12, ntyp = 3
/
ATOMIC_SPECIES
In 114.82 In.upf
Ca 40.08 Ca.upf
Rh 102.91 Rh.upf
CELL_PARAMETERS angstrom
-0.7000 -4.1208 -1.2600
6.4886 -0.0634 -3.3977
3.6355 -2.7561 6.9940
ATOMIC_POSITIONS crystal
In 0.7500 0.8493 0.0661
Ca 0.7500 0.4746 0.8235
Ca 0.2500 0.0254 0.3235
Rh 0.2500 0.2757 0.6234
Rh 0.7500 0.2243 0.1234
In 0.7500 0.3493 0.4339
In 0.2500 0.6507 0.5661
Rh 0.7500 0.7243 0.3766
Rh 0.2500 0.7757 0.8766
In 0.2500 0.1507 0.9339
Ca 0.2500 0.5254 0.1765
Ca 0.7500 0.9746 0.6765
! energy relative to the elements: -0.55 eV/atom
! magnetic moment: 0.000 μB per formula unit